Computed, not measured: PmInNi2 after structural relaxation at the PBE level of DFT.

Cell: 4.068 5.183 7.126 Å, 90.00 90.00 90.00°
Element x y z (fractional)
Pm 0.000 0.250 0.728
Pm 0.000 0.750 0.272
In 0.500 0.750 0.653
In 0.500 0.250 0.347
Ni 0.000 0.750 0.892
Ni 0.000 0.250 0.108
Ni 0.500 0.000 0.000
Ni 0.500 0.500 0.000

Results
ρ = 8.34 g cm⁻³
energy of formation = -0.422 eV per atom
total magnetic moment = 0.00 μB per formula unit


Computed, not measured: PmIn6Ni6 after structural relaxation at the PBE level of DFT.

Cell: 5.319 6.995 6.995 Å, 80.46 67.65 67.65°
Element x y z (fractional)
Pm 0.000 0.000 0.000
In 0.343 0.657 0.657
In 0.657 0.343 0.343
In 0.000 0.333 0.667
In 0.000 0.667 0.333
In 0.319 0.181 0.181
In 0.681 0.819 0.819
Ni 0.000 0.500 0.000
Ni 0.500 0.500 0.000
Ni 0.000 0.000 0.500
Ni 0.500 0.000 0.500
Ni 0.500 0.762 0.238
Ni 0.500 0.238 0.762

Results
ρ = 8.85 g cm⁻³
energy of formation = -0.216 eV per atom
total magnetic moment = 0.00 μB per formula unit


Computed, not measured: PmInNi2 after structural relaxation at the PBE level of DFT.

Cell: 4.443 4.443 8.851 Å, 90.00 90.00 120.00°
Element x y z (fractional)
Pm 0.333 0.667 0.250
Pm 0.667 0.333 0.750
In 0.000 0.000 0.000
In 0.000 0.000 0.500
Ni 0.667 0.333 0.073
Ni 0.333 0.667 0.573
Ni 0.667 0.333 0.427
Ni 0.333 0.667 0.927

Results
ρ = 8.28 g cm⁻³
energy of formation = -0.360 eV per atom
total magnetic moment = 0.00 μB per formula unit


Computed, not measured: Pm2In6Ni after structural relaxation at the PBE level of DFT.

Cell: 4.723 3.902 12.839 Å, 90.00 100.60 90.00°
Element x y z (fractional)
Pm 0.327 0.000 0.653
Pm 0.996 0.000 0.992
In 0.710 0.000 0.420
In 0.222 0.500 0.445
In 0.108 0.500 0.215
In 0.587 0.000 0.174
In 0.453 0.500 0.906
In 0.884 0.500 0.767
Ni 0.782 0.500 0.565

Results
ρ = 7.41 g cm⁻³
energy of formation = -0.257 eV per atom
total magnetic moment = 0.00 μB per formula unit


Computed, not measured: PmInNiPt after structural relaxation at the PBE level of DFT.

Cell: 4.801 4.801 4.801 Å, 60.00 60.00 60.00°
Element x y z (fractional)
Ni 0.250 0.250 0.250
In 0.500 0.500 0.500
Pt 0.750 0.750 0.750
Pm 0.000 0.000 0.000

Results
ρ = 10.90 g cm⁻³
energy of formation = -0.561 eV per atom
total magnetic moment = 0.00 μB per formula unit


Computed, not measured: PmInNiRu after structural relaxation at the PBE level of DFT.

Cell: 4.726 4.726 4.726 Å, 60.00 60.00 60.00°
Element x y z (fractional)
Ru 0.500 0.500 0.500
In 0.750 0.750 0.750
Ni 0.000 0.000 0.000
Pm 0.250 0.250 0.250

Results
ρ = 9.33 g cm⁻³
energy of formation = -0.160 eV per atom
total magnetic moment = 0.00 μB per formula unit


Computed, not measured: Pm2InNi4Sb3 after structural relaxation at the PBE level of DFT.

Cell: 4.363 4.363 10.393 Å, 90.00 90.00 90.00°
Element x y z (fractional)
Pm 0.500 0.000 0.237
Pm 0.000 0.500 0.763
In 0.500 0.500 0.500
Ni 0.500 0.500 0.000
Ni 0.000 0.000 0.000
Ni 0.500 0.000 0.633
Ni 0.000 0.500 0.367
Sb 0.000 0.000 0.500
Sb 0.500 0.000 0.872
Sb 0.000 0.500 0.128

Results
ρ = 8.44 g cm⁻³
total magnetic moment = 0.00 μB per formula unit
raw formation energy = -0.608 eV/atom


Computed, not measured: PmScInNi after structural relaxation at the PBE level of DFT.

Cell: 5.026 5.026 5.026 Å, 60.00 60.00 60.00°
Element x y z (fractional)
Sc 0.000 0.000 0.000
Ni 0.250 0.250 0.250
In 0.750 0.750 0.750
Pm 0.500 0.500 0.500

Results
ρ = 6.72 g cm⁻³
energy of formation = -0.267 eV per atom
total magnetic moment = 0.00 μB per formula unit


Computed, not measured: PmIn2Ni2Sn after structural relaxation at the PBE level of DFT.

Cell: 4.715 4.715 6.050 Å, 90.00 90.00 90.00°
Element x y z (fractional)
Pm 0.000 0.000 0.500
In 0.500 0.500 0.744
In 0.500 0.500 0.256
Ni 0.500 0.000 0.000
Ni 0.000 0.500 0.000
Sn 0.000 0.000 0.000

Results
ρ = 7.54 g cm⁻³
energy of formation = -0.089 eV per atom
total magnetic moment = 0.00 μB per formula unit


Computed, not measured: Pm2InNi4Sn3 after structural relaxation at the PBE level of DFT.

Cell: 4.409 4.409 10.310 Å, 90.00 90.00 90.00°
Element x y z (fractional)
Pm 0.500 0.000 0.239
Pm 0.000 0.500 0.761
In 0.500 0.500 0.500
Ni 0.500 0.500 0.000
Ni 0.000 0.000 0.000
Ni 0.500 0.000 0.634
Ni 0.000 0.500 0.366
Sn 0.000 0.000 0.500
Sn 0.500 0.000 0.875
Sn 0.000 0.500 0.125

Results
ρ = 8.25 g cm⁻³
energy of formation = -0.496 eV per atom
total magnetic moment = 0.00 μB per formula unit


Computed, not measured: Sr2PmIn12Ni3 after structural relaxation at the PBE level of DFT.

Cell: 8.687 8.687 8.687 Å, 64.97 64.97 64.97°
Element x y z (fractional)
Sr 0.586 0.586 0.586
Sr 0.414 0.414 0.414
Pm 0.000 0.000 0.000
In 0.276 0.276 0.891
In 0.841 0.841 0.452
In 0.452 0.841 0.841
In 0.891 0.276 0.276
In 0.841 0.452 0.841
In 0.276 0.891 0.276
In 0.724 0.724 0.109
In 0.159 0.159 0.548
In 0.548 0.159 0.159
In 0.109 0.724 0.724
In 0.159 0.548 0.159
In 0.724 0.109 0.724
Ni 0.500 0.000 0.000
Ni 0.000 0.500 0.000
Ni 0.000 0.000 0.500

Results
ρ = 6.06 g cm⁻³
energy of formation = -0.061 eV per atom
total magnetic moment = 0.00 μB per formula unit


Computed, not measured: TbPmInNi after structural relaxation at the PBE level of DFT.

Cell: 5.176 5.176 5.176 Å, 60.00 60.00 60.00°
Element x y z (fractional)
Ni 0.250 0.250 0.250
In 0.750 0.750 0.750
Tb 0.000 0.000 0.000
Pm 0.500 0.500 0.500

Results
ρ = 8.09 g cm⁻³
energy of formation = -0.273 eV per atom
total magnetic moment = 0.00 μB per formula unit